## Pb2Br (GGA-PBE)

Data for a geometry-optimized Pb2Br structure.

Unit cell a=5.4676 b=5.4676 c=3.6044 alpha=90.00 beta=90.00 gamma=120.00
Space group P6/mmm (No. 191)
Asymmetric unit:
Pb 0.3333 0.6667 0.0000 [2 per cell]
Br 0.0000 0.0000 0.5000 [1 per cell]

- V: 93.3 Å³/cell
- Crystal system: hexagonal
- Magnetization: 0.00 μB per formula unit
- Energy above the most stable polymorph in this dataset: 227 meV/atom
- Formation energy from raw total energies: -0.047 eV/atom